This record from Alexandria via LeMat-Bulk describes crystalline CaAc2Au5 at its relaxed geometry. The functional is PBE.

Lattice parameters (Å, degrees): 5.3933 5.3933 8.0616 109.54 109.54 90.00
With the nearest neighbours (Å) after each atom.
Element x y z (fractional)
Ca 0.0000 0.0000 0.0000  8 Au 3.11
Ac 0.2756 0.2756 0.5512  5 Au 3.15-3.19
Ac 0.7244 0.7244 0.4488  5 Au 3.15-3.19
Au 0.5000 0.5000 0.0000  8 Au 3.11, 2 Ac 3.19
Au 0.8907 0.3907 0.7814  3 Au 3.10-3.11, 2 Ca 3.11, 2 Ac 3.15
Au 0.1093 0.6093 0.2186  3 Au 3.10-3.11, 2 Ca 3.11, 2 Ac 3.15
Au 0.6093 0.1093 0.2186  3 Au 3.10-3.11, 2 Ca 3.11, 2 Ac 3.15
Au 0.3907 0.8907 0.7814  3 Au 3.10-3.11, 2 Ca 3.11, 2 Ac 3.15

Summary:
Symmetry = No. 139
Crystal system = tetragonal
Final energy = -4.002 eV per atom

***

This record from Alexandria via LeMat-Bulk describes crystalline La2AlP3Rh12 at its relaxed geometry. The functional is PBE.

Lattice parameters (Å, degrees): 7.1121 7.1121 7.1121 72.73 72.73 72.73
With the nearest neighbours (Å) after each atom.
Element x y z (fractional)
Rh 0.3598 0.8579 0.8579  1 P 2.20
Rh 0.6689 0.0894 0.6689  2 P 2.30
Rh 0.6402 0.1421 0.1421  1 P 2.20
Rh 0.0894 0.6689 0.6689  2 P 2.30
Rh 0.9106 0.3311 0.3311  2 P 2.30
Rh 0.1421 0.6402 0.1421  1 P 2.20
Rh 0.3311 0.3311 0.9106  2 P 2.30
Rh 0.8579 0.3598 0.8579  1 P 2.20
Rh 0.1421 0.1421 0.6402  1 P 2.20
Rh 0.8579 0.8579 0.3598  1 P 2.20
Rh 0.3311 0.9106 0.3311  2 P 2.30
Rh 0.6689 0.6689 0.0894  2 P 2.30
P 0.5000 0.0000 0.0000  6 Rh 2.20-2.30
P 0.0000 0.0000 0.5000  6 Rh 2.20-2.30
P 0.0000 0.5000 0.0000  6 Rh 2.20-2.30
La 0.3916 0.3916 0.3916  3 Rh 2.75
La 0.6084 0.6084 0.6084  3 Rh 2.75
Al 0.0000 0.0000 0.0000  6 Rh 2.47

Summary:
Symmetry = No. 166
Crystal system = trigonal
Final energy = -6.898 eV per atom

***

This record from Alexandria via LeMat-Bulk describes crystalline TmNp3Tl4Se8 at its relaxed geometry. The functional is PBE.

Lattice parameters (Å, degrees): 8.4115 9.1538 8.4110 117.35 120.00 90.00
With the nearest neighbours (Å) after each atom.
Element x y z (fractional)
Se 0.7342 0.7024 0.4683  3 Np 2.89
Se 0.7682 0.2970 0.0286  1 Tm 2.86, 2 Np 2.91
Se 0.2604 0.2970 0.0286  1 Tm 2.86, 2 Np 2.91
Se 0.7683 0.2970 0.5366  1 Tm 2.86, 2 Np 2.91
Se 0.7396 0.7030 0.9714  1 Tm 2.86, 2 Np 2.91
Se 0.2317 0.7030 0.4634  1 Tm 2.86, 2 Np 2.91
Se 0.2658 0.2976 0.5317  3 Np 2.89
Se 0.2318 0.7030 0.9714  1 Tm 2.86, 2 Np 2.91
Np 0.0000 0.5000 0.5000  6 Se 2.89-2.91
Np 0.5000 0.5000 0.5000  6 Se 2.89-2.91
Np 0.5000 0.5000 0.0000  6 Se 2.89-2.91
Tl 0.5000 0.0000 0.0000  6 Se 3.38
Tl 0.0000 0.0000 0.0000  6 Se 3.33-3.35
Tl 0.0000 0.0000 0.5000  6 Se 3.33-3.35
Tl 0.5000 0.0000 0.5000  6 Se 3.33-3.35
Tm 0.0000 0.5000 0.0000  6 Se 2.86

Summary:
Symmetry = No. 166
Formation energy (no corrections) = -23.370 kcal/mol of atoms
Crystal system = trigonal

***

Number 1: magnetization 0.000 Bohr magnetons per cell. Number 2: magnetization 0.000 Bohr magnetons per cell. Number 3: magnetization 12.000 Bohr magnetons per cell.